1.
DFT (PBE) results for an optimized crystal structure of Ti4InSe.

Values from the calculation:
- calculated total energy (eV/cell) = -78.114
- volume (A^3/atom) = 18.782
- energy relative to the elements, uncorrected (eV per atom) = -0.209

Lattice parameters (Å, degrees): 5.300 6.340 7.417 103.35 110.98 90.21
Fractional coordinates of all 12 atoms:
Ti: 0.313 0.619 0.351
Ti: 0.514 0.061 0.842
Ti: 0.486 0.939 0.158
Ti: 0.328 0.564 0.844
Ti: 0.041 0.121 0.353
Ti: 0.959 0.879 0.647
Ti: 0.672 0.436 0.156
Ti: 0.687 0.381 0.649
Se: 0.500 0.000 0.500
Se: 0.000 0.500 0.500
In: 0.903 0.751 0.001
In: 0.097 0.249 0.999



2.
DFT (PBE) results for an optimized crystal structure of Nb2VRu3.

Values from the calculation:
- calculated total energy (eV/cell) = -116.833
- volume (A^3/atom) = 15.363
- ΔE_f (eV per atom) = -0.22

Lattice parameters (Å, degrees): 4.231 6.703 6.849 90.00 90.00 71.60
Fractional coordinates of all 12 atoms:
Ru: 0.500 0.000 0.771
Ru: 0.170 0.660 0.218
Ru: 0.500 0.000 0.229
Ru: 0.830 0.340 0.218
Ru: 0.170 0.660 0.782
Ru: 0.830 0.340 0.782
Nb: 0.000 0.000 0.000
Nb: 0.330 0.340 0.500
Nb: 0.000 0.000 0.500
Nb: 0.670 0.660 0.500
V: 0.668 0.664 0.000
V: 0.332 0.336 0.000



3.
DFT (PBE) results for an optimized crystal structure of BaNdNbN3.

Values from the calculation:
- calculated total energy (eV/cell) = -94.228
- volume (A^3/atom) = 18.012
- energy relative to the elements, uncorrected (eV per atom) = -0.896

Lattice parameters (Å, degrees): 4.096 7.290 7.822 104.74 90.00 106.32
Fractional coordinates of all 12 atoms:
Ba: 0.352 0.703 0.923
Ba: 0.648 0.297 0.077
Nd: 0.657 0.313 0.577
Nd: 0.343 0.687 0.423
N: 0.852 0.705 0.200
N: 0.158 0.316 0.346
N: 0.842 0.684 0.654
N: 0.148 0.295 0.800
N: 0.495 0.990 0.681
N: 0.505 0.010 0.319
Nb: 0.999 0.997 0.700
Nb: 0.001 0.003 0.300



4.
DFT (PBE) results for an optimized crystal structure of BaCr2Cd.

Values from the calculation:
- calculated total energy (eV/cell) = -18.293
- volume (A^3/atom) = 25.987
- ΔE_f (eV per atom) = 0.95

Lattice parameters (Å, degrees): 6.121 6.121 3.315 77.11 77.11 113.60
Fractional coordinates of all 4 atoms:
Cr: 0.500 0.500 0.000
Cr: 0.000 0.000 0.000
Ba: 0.500 0.000 0.500
Cd: 0.000 0.500 0.500



5.
DFT (PBE) results for an optimized crystal structure of ZrTl2ReAu.

Values from the calculation:
- calculated total energy (eV/cell) = -21.498
- volume (A^3/atom) = 28.528
- ΔE_f (eV per atom) = 1.50

Lattice parameters (Å, degrees): 5.143 5.392 5.143 90.00 90.00 90.00
Fractional coordinates of all 5 atoms:
Tl: 0.000 0.000 0.500
Tl: 0.500 0.000 0.000
Au: 0.000 0.000 0.000
Zr: 0.000 0.500 0.000
Re: 0.500 0.500 0.500



6.
DFT (PBE) results for an optimized crystal structure of Y2Ge2Cl.

Values from the calculation:
- calculated total energy (eV/cell) = -58.786
- volume (A^3/atom) = 23.643
- energy relative to the elements, uncorrected (eV per atom) = -1.077

Lattice parameters (Å, degrees): 7.644 7.644 4.046 90.00 90.00 90.00
Fractional coordinates of all 10 atoms:
Y: 0.181 0.319 0.000
Y: 0.819 0.681 0.000
Y: 0.319 0.819 0.000
Y: 0.681 0.181 0.000
Ge: 0.386 0.114 0.500
Ge: 0.614 0.886 0.500
Ge: 0.114 0.614 0.500
Ge: 0.886 0.386 0.500
Cl: 0.500 0.500 0.000
Cl: 0.000 0.000 0.000



7.
DFT (PBE) results for an optimized crystal structure of AlBi.

Values from the calculation:
- calculated total energy (eV/cell) = -43.446
- volume (A^3/atom) = 28.529
- ΔE_f (eV per atom) = 0.19

Lattice parameters (Å, degrees): 13.050 4.510 5.817 90.00 90.00 90.00
Fractional coordinates of all 12 atoms:
Bi: 0.500 0.309 0.302
Bi: 0.830 0.137 0.172
Bi: 0.670 0.863 0.672
Bi: 0.330 0.863 0.672
Bi: 0.170 0.137 0.172
Bi: 0.000 0.691 0.802
Al: 0.500 0.823 0.990
Al: 0.000 0.177 0.490
Al: 0.191 0.368 0.682
Al: 0.309 0.632 0.182
Al: 0.809 0.368 0.682
Al: 0.691 0.632 0.182



8.
DFT (PBE) results for an optimized crystal structure of Li2Tb5Sn4.

Values from the calculation:
- calculated total energy (eV/cell) = -47.395
- volume (A^3/atom) = 27.086
- ΔE_f (eV per atom) = -0.40

Lattice parameters (Å, degrees): 3.588 8.350 10.932 112.44 99.45 90.00
Fractional coordinates of all 11 atoms:
Sn: 0.000 0.686 0.000
Sn: 0.286 0.286 0.572
Sn: 0.000 0.314 0.000
Sn: 0.714 0.714 0.428
Tb: 0.844 0.631 0.689
Tb: 0.156 0.942 0.312
Tb: 0.844 0.058 0.688
Tb: 0.500 0.000 0.000
Tb: 0.156 0.369 0.311
Li: 0.421 0.422 0.843
Li: 0.579 0.578 0.157